No. 1
The following is a PBE calculation of a relaxed KSc2Hg crystal, from Alexandria.

abc: 3.4994 3.4995 9.7306
angles: 90.00 90.13 90.00
Closest atoms and distances in Å follow each position.
Sites, in units of the cell vectors:
K 0.0000 0.0000 0.0000  4 K 3.50, 4 Hg 3.64
Sc 0.4962 0.5000 0.3490  8 Sc 3.20-3.50
Sc 0.9977 0.0000 0.5570  4 Hg 2.97, 4 Sc 3.20
Hg 0.4989 0.5000 0.7260  4 Sc 2.97

Magnetization (μB per formula unit): 1.238
Energy of formation from the pure elements (eV per atom): 0.04
Space group: Pm (6)
Final energy (eV for the cell shown): -13.92

=====

No. 2
The following is a PBE calculation of a relaxed Co2AsPtC crystal, from Alexandria.

abc: 3.8656 3.8656 4.1964
angles: 90.00 90.00 90.00
Closest atoms and distances in Å follow each position.
Sites, in units of the cell vectors:
Co 0.0000 0.5000 0.0000  2 C 1.93
Co 0.5000 0.0000 0.0000  2 C 1.93
As 0.0000 0.0000 0.5000  4 Pt 2.73, 8 Co 2.85
Pt 0.5000 0.5000 0.5000  2 C 2.10
C 0.5000 0.5000 0.0000  4 Co 1.93, 2 Pt 2.10

Magnetization (μB per formula unit): 1.518
Energy of formation from the pure elements (eV per atom): 0.32
Space group: P4/mmm (123)
Final energy (eV for the cell shown): -32.50

=====

No. 3
The following is a PBE calculation of a relaxed YHoCl3 crystal, from Alexandria.

abc: 8.2222 8.2222 10.4170
angles: 119.68 119.68 26.97
Closest atoms and distances in Å follow each position.
Sites, in units of the cell vectors:
Y 0.0833 0.0833 0.4526  4 Cl 2.75-2.78
Y 0.9167 0.9167 0.5474  4 Cl 2.75-2.78
Ho 0.3617 0.3617 0.2103  5 Cl 2.71-2.83
Ho 0.6383 0.6383 0.7897  5 Cl 2.71-2.83
Cl 0.1634 0.1634 0.0061  3 Ho 2.78-2.83
Cl 0.2768 0.2768 0.3801  1 Ho 2.72, 2 Y 2.78
Cl 0.4606 0.4606 0.7625  1 Ho 2.71, 2 Y 2.75
Cl 0.5394 0.5394 0.2375  1 Ho 2.71, 2 Y 2.75
Cl 0.7232 0.7232 0.6199  1 Ho 2.72, 2 Y 2.78
Cl 0.8366 0.8366 0.9939  3 Ho 2.78-2.83

Magnetization (μB per formula unit): 0.000
ΔE_f (raw) (eV/atom): -1.8361
Space group: C2/m (12)
Final energy (eV for the cell shown): -51.52

=====

No. 4
The following is a PBE calculation of a relaxed AlTcNi2Bi crystal, from Alexandria.

abc: 4.3322 4.3322 5.3292
angles: 90.00 90.00 90.00
Closest atoms and distances in Å follow each position.
Sites, in units of the cell vectors:
Al 0.0000 0.0000 0.0000  4 Ni 2.17
Tc 0.5000 0.5000 0.5000  4 Bi 3.06
Ni 0.0000 0.5000 0.0000  2 Al 2.17
Ni 0.5000 0.0000 0.0000  2 Al 2.17
Bi 0.0000 0.0000 0.5000  2 Al 2.66

Magnetization (μB per formula unit): 3.497
Energy of formation from the pure elements (eV per atom): 1.16
Space group: P4/mmm (123)
Final energy (eV for the cell shown): -23.78

=====

Q: Which formula does entry 2 have?
A: Co2AsPtC

=====

Q: final energy of number 4 (AlTcNi2Bi)?
A: -23.78 eV for the cell shown

=====

Please write out number 4 again, unchanged.
The following is a PBE calculation of a relaxed AlTcNi2Bi crystal, from Alexandria.

abc: 4.3322 4.3322 5.3292
angles: 90.00 90.00 90.00
Closest atoms and distances in Å follow each position.
Sites, in units of the cell vectors:
Al 0.0000 0.0000 0.0000  4 Ni 2.17
Tc 0.5000 0.5000 0.5000  4 Bi 3.06
Ni 0.0000 0.5000 0.0000  2 Al 2.17
Ni 0.5000 0.0000 0.0000  2 Al 2.17
Bi 0.0000 0.0000 0.5000  2 Al 2.66

Magnetization (μB per formula unit): 3.497
Energy of formation from the pure elements (eV per atom): 1.16
Space group: P4/mmm (123)
Final energy (eV for the cell shown): -23.78

=====

Q: Which of these has the lowest final energy?
A: YHoCl3